(1)
Pr4AlO7: relaxed, PBE.

Cell and atoms, written as extended XYZ:
```
12
Lattice="4.0083 0.0000 0.0000 2.0042 6.6507 0.0591 2.0042 0.4189 6.8597" Properties=species:S:1:pos:R:3 pbc="T T T"
Pr 4.0083 1.7053 4.1932
Pr 4.0083 5.3643 2.7255
Pr 6.0125 4.7507 5.8204
Pr 2.0042 2.3188 1.0983
Al 0.0000 0.0000 0.0000
O 6.0125 5.8669 3.8243
O 2.0042 1.2026 3.0945
O 2.0042 4.8995 0.6685
O 6.0125 2.1701 6.2502
O 4.0083 3.9977 4.8257
O 2.0042 0.0000 0.0000
O 4.0083 3.0719 2.0931
```

Output
* total DFT energy (no corrections): -93.7 eV per cell
* raw formation energy: -3.015 eV per atom
* volume: 183 Å³/f.u.
* space group: No. 12
* D(E_F): 1.84 states/eV per cell
* total magnetic moment: 1.0 μB per cell

---

(2)
Rb2Tl6HgPd: relaxed, PBE.

Cell and atoms, written as extended XYZ:
```
20
Lattice="-3.5040 -6.2454 2.9563 2.7396 -3.2847 6.4597 -8.2068 4.8014 10.5679" Properties=species:S:1:pos:R:3 pbc="T T T"
Rb -3.1858 -7.1007 11.6782
Rb -5.7854 2.3721 8.3057
Rb -7.3516 -2.9213 15.5701
Rb -1.6196 -1.8074 4.4137
Tl -5.7327 -4.7994 9.2827
Tl -2.0959 -3.0748 11.3234
Tl -3.6917 -1.1615 7.5607
Tl -3.2384 0.0707 10.7012
Tl -6.8752 -1.6539 8.6605
Tl -5.2794 -3.5671 12.4232
Tl -9.1739 -0.3208 13.0194
Tl -6.5494 0.9237 14.4921
Tl -7.7010 2.3044 11.7767
Tl 0.2028 -4.4079 6.9645
Tl -2.4217 -5.6524 5.4918
Tl -1.2701 -7.0331 8.2072
Hg -2.7446 -4.1111 8.3654
Hg -6.2266 -0.6176 11.6185
Pd 0.0000 0.0000 0.0000
Pd -4.4856 -2.3643 9.9919
```

Output
* total DFT energy (no corrections): -44.4 eV per cell
* volume: 351 Å³/f.u.
* space group: No. 166
* D(E_F): 14.77 states/eV per cell
* total magnetic moment: 0.0 μB per cell

---

(3)
TlIn2Ir: relaxed, PBE.

Cell and atoms, written as extended XYZ:
```
4
Lattice="3.1821 0.0000 0.0000 0.0000 3.1810 0.0000 0.0000 0.0000 9.0113" Properties=species:S:1:pos:R:3 pbc="T T T"
In 0.0000 0.0000 0.5121
In 0.0000 0.0000 3.9936
Ir 1.5910 1.5905 2.2528
Tl 1.5910 1.5905 6.7585
```

Output
* total DFT energy (no corrections): -16.6 eV per cell
* volume: 91 Å³/f.u.
* space group: No. 123
* D(E_F): 2.20 states/eV per cell
* total magnetic moment: 0.0 μB per cell

---

(4)
RbTcS3: relaxed, PBE.

Cell and atoms, written as extended XYZ:
```
5
Lattice="-1.7647 0.6567 4.3796 3.1919 -3.0795 1.7479 3.0698 3.5794 0.7003" Properties=species:S:1:pos:R:3 pbc="T T T"
S 1.5959 -1.5397 0.8739
S 1.5349 1.7897 0.3501
S -0.8824 0.3283 2.1898
Tc 0.0000 0.0000 0.0000
Rb 2.2485 0.5783 3.4139
```

Output
* total DFT energy (no corrections): -25.3 eV per cell
* raw formation energy: -0.307 eV per atom
* volume: 108 Å³/f.u.
* space group: No. 221
* D(E_F): 4.68 states/eV per cell
* total magnetic moment: 0.0 μB per cell

---

(5)
Zr2PbSe: relaxed, PBE.

Cell and atoms, written as extended XYZ:
```
4
Lattice="-3.0148 -1.2370 3.9558 -2.6079 -0.4378 -2.1244 0.0649 -5.4643 -1.6592" Properties=species:S:1:pos:R:3 pbc="T T T"
Pb -1.4973 -2.7372 -1.9971
Se -3.7528 -5.7023 -1.3231
Zr -2.1562 -5.4326 -3.3421
Zr -1.9660 -2.1201 1.1588
```

Output
* total DFT energy (no corrections): -26.5 eV per cell
* raw formation energy: -0.562 eV per atom
* volume: 95 Å³/f.u.
* space group: No. 38
* D(E_F): 1.18 states/eV per cell
* total magnetic moment: 0.0 μB per cell

---

(6)
FeCoRu2: relaxed, PBE.

Cell and atoms, written as extended XYZ:
```
4
Lattice="2.6261 0.0000 0.0000 0.0000 3.6327 0.0000 0.0000 0.0000 5.2490" Properties=species:S:1:pos:R:3 pbc="T T T"
Co 1.3130 1.8163 1.3122
Fe 1.3130 1.8163 3.9367
Ru 0.0000 0.0000 0.0093
Ru 0.0000 0.0000 2.6152
```

Output
* total DFT energy (no corrections): -33.5 eV per cell
* volume: 50 Å³/f.u.
* space group: No. 47
* D(E_F): 5.05 states/eV per cell
* total magnetic moment: 0.5 μB per cell

---

(7)
BeCrRu: relaxed, PBE.

Cell and atoms, written as extended XYZ:
```
3
Lattice="-3.6854 -0.3911 -1.3271 1.5486 -2.7531 2.3492 -0.8845 1.2771 2.0797" Properties=species:S:1:pos:R:3 pbc="T T T"
Ru -0.7741 -1.1311 2.4830
Be -0.0013 0.0019 0.0031
Cr -2.2458 -0.7379 0.6156
```

Output
* total DFT energy (no corrections): -22.6 eV per cell
* volume: 35 Å³/f.u.
* space group: No. 156
* D(E_F): 3.31 states/eV per cell
* total magnetic moment: 0.0 μB per cell

---

(8)
Ac6S2BrN3: relaxed, PBE.

Cell and atoms, written as extended XYZ:
```
12
Lattice="-1.4737 -2.8784 2.3738 7.9499 -2.5694 1.8198 -1.7675 7.8142 4.9884" Properties=species:S:1:pos:R:3 pbc="T T T"
Ac 5.8481 1.6730 5.6591
Ac 3.2342 -0.9355 4.2630
Ac -1.1393 0.6934 3.5230
Ac -0.9225 4.0540 7.7325
Ac 5.6312 -1.6876 1.4496
Ac 1.4746 3.3019 4.9191
S 2.9338 1.1250 6.5749
S 1.7750 1.2414 2.6072
Br -0.7368 -1.4392 1.1869
N 3.2381 -2.7239 2.0968
N -1.0524 2.3417 5.5755
N 5.7612 0.0247 3.6066
```

Output
* total DFT energy (no corrections): -76.9 eV per cell
* raw formation energy: -1.449 eV per atom
* volume: 300 Å³/f.u.
* space group: No. 12
* D(E_F): 4.98 states/eV per cell
* total magnetic moment: 0.0 μB per cell

---

(9)
Pm6PrHo3: relaxed, PBE.

Cell and atoms, written as extended XYZ:
```
20
Lattice="6.4794 0.0000 0.0000 0.0000 10.2213 -5.8174 0.0000 -2.2762 11.5385" Properties=species:S:1:pos:R:3 pbc="T T T"
Pm 0.5061 6.1274 2.8625
Pm 3.7458 4.6577 4.9036
Pm 2.1433 2.6316 7.6400
Pm 5.3830 8.0802 0.0733
Pm 1.8766 10.0456 -5.5733
Pm 5.2008 1.4811 6.3206
Pm 1.9611 6.4641 -0.5995
Pm 5.1163 -2.1005 11.2945
Pm 2.1433 -0.1350 5.6478
Pm 5.3830 5.3135 -1.9189
Pm 0.5061 3.2874 0.8175
Pm 3.7458 1.8177 2.8586
Pr 0.0443 -0.3149 8.8148
Pr 3.2840 8.2601 -3.0937
Ho 3.1394 8.1950 2.5424
Ho 6.3791 5.0097 6.9660
Ho 0.6442 2.9566 4.2715
Ho 3.8840 4.9885 1.4496
Ho 6.3791 -0.2499 3.1787
Ho 3.1394 2.9354 -1.2449
```

Output
* total DFT energy (no corrections): -91.5 eV per cell
* volume: 339 Å³/f.u.
* space group: No. 36
* D(E_F): 29.36 states/eV per cell
* total magnetic moment: 0.0 μB per cell

---

(10)
Y3Re4: relaxed, PBE.

Cell and atoms, written as extended XYZ:
```
7
Lattice="5.4323 6.7046 12.2138 4.5117 10.3459 9.8105 -7.0206 -8.4640 -10.1346" Properties=species:S:1:pos:R:3 pbc="T T T"
Y 0.0000 0.0000 0.0000
Y 6.8934 11.8199 15.2678
Y 3.0505 5.2306 6.7564
Re 8.7335 14.9750 19.3433
Re 5.7289 9.8232 12.6886
Re 4.2151 7.2274 9.3356
Re 1.2105 2.0755 2.6810
```

Output
* total DFT energy (no corrections): -68.7 eV per cell
* volume: 147 Å³/f.u.
* space group: No. 139
* D(E_F): 6.22 states/eV per cell
* total magnetic moment: 0.0 μB per cell

---

(11)
CsLiCd2Cl6: relaxed, PBE.

Cell and atoms, written as extended XYZ:
```
20
Lattice="-1.3870 -4.5863 6.3098 5.9265 -7.8262 -1.3351 5.7050 3.8684 7.1165" Properties=species:S:1:pos:R:3 pbc="T T T"
Cs 5.5528 -7.5500 1.2706
Cs 4.6917 -0.9942 10.8206
Li 5.4037 0.3244 6.9614
Li 4.8409 -8.8686 5.1298
Cd 7.4961 -5.1491 5.4258
Cd 3.4760 -2.9012 2.2101
Cd 2.7484 -3.3951 6.6654
Cd 6.7686 -5.6429 9.8810
Cl 9.9655 -5.4630 5.6514
Cl 1.0116 -2.8470 1.7969
Cl 0.2791 -3.0811 6.4398
Cl 9.2330 -5.6972 10.2943
Cl 6.3943 -7.1859 4.5592
Cl 4.6436 -4.3350 0.5685
Cl 3.8503 -1.3583 7.5320
Cl 5.6010 -4.2092 11.5226
Cl 7.3307 -3.4405 3.5057
Cl 3.6334 -4.1842 4.4379
Cl 2.9139 -5.1037 8.5855
Cl 6.6112 -4.3600 7.6533
```

Output
* total DFT energy (no corrections): -59.2 eV per cell
* raw formation energy: -1.394 eV per atom
* volume: 362 Å³/f.u.
* space group: No. 15
* D(E_F): 0.00 states/eV per cell
* total magnetic moment: 0.0 μB per cell

---

(12)
SmErHgRu: relaxed, PBE.

Cell and atoms, written as extended XYZ:
```
4
Lattice="3.4924 0.0000 0.0000 0.0000 3.4924 0.0000 0.0000 0.0000 7.5918" Properties=species:S:1:pos:R:3 pbc="T T T"
Sm 1.7462 1.7462 5.9999
Er 1.7462 1.7462 2.6592
Hg 0.0000 0.0000 0.6326
Ru 0.0000 0.0000 4.2574
```

Output
* total DFT energy (no corrections): -20.6 eV per cell
* volume: 93 Å³/f.u.
* space group: No. 99
* D(E_F): 3.03 states/eV per cell
* total magnetic moment: 0.0 μB per cell